First-principles (GGA-PBE) data for a relaxed Ta12Cu3H5 crystal, as listed in the Alexandria database.

POSCAR file:
```
Ta12Cu3H5
1.0
-0.7300 11.3700 0.5791
-3.0822 -3.4828 -10.4171
-6.9321 -4.6564 7.7723
Ta H Cu
48 20 12
Direct
0.4137 0.3051 0.3228
0.5909 0.9823 0.6772
0.6772 0.1949 0.5863
0.3051 0.4137 0.8228
0.5177 0.3228 0.9091
0.8914 0.3051 0.4823
0.5177 0.1949 0.1086
0.8228 0.9091 0.0177
0.3914 0.4091 0.0863
0.5863 0.8914 0.4091
0.0909 0.9137 0.1086
0.9823 0.3914 0.3051
0.3228 0.5177 0.4091
0.6086 0.5909 0.9137
0.0863 0.9091 0.3914
0.0177 0.4091 0.8228
0.8051 0.4823 0.3914
0.6949 0.1086 0.0177
0.1772 0.0909 0.9823
0.6086 0.0177 0.1949
0.1086 0.4137 0.0909
0.4091 0.0177 0.3228
0.3228 0.8051 0.4137
0.8228 0.9137 0.3051
0.8914 0.5863 0.9091
0.6772 0.4823 0.5909
0.5909 0.6086 0.4137
0.9091 0.8228 0.5177
0.1949 0.5177 0.6086
0.4823 0.8051 0.8914
0.4091 0.3914 0.5863
0.1086 0.6949 0.5177
0.3914 0.9823 0.8051
0.6949 0.5863 0.1772
0.9823 0.5909 0.1772
0.3051 0.8914 0.9823
0.8051 0.3228 0.9137
0.9091 0.0863 0.8914
0.1949 0.6772 0.0863
0.1772 0.0863 0.6949
0.0177 0.6086 0.6949
0.0909 0.1772 0.4823
0.5863 0.6949 0.6772
0.9137 0.0909 0.6086
0.4823 0.6772 0.0909
0.0863 0.1772 0.1949
0.4137 0.1086 0.5909
0.9137 0.8228 0.8051
0.6250 0.8750 0.2500
0.1250 0.3750 0.2500
0.1250 0.7500 0.3750
0.5000 0.5000 0.0000
0.3750 0.2500 0.1250
0.5000 0.0000 0.0000
0.7500 0.1250 0.8750
0.7500 0.6250 0.3750
0.5000 0.5000 0.5000
0.6250 0.7500 0.8750
0.2500 0.8750 0.1250
0.3750 0.1250 0.7500
0.5000 0.0000 0.5000
0.8750 0.2500 0.6250
0.0000 0.5000 0.0000
0.0000 0.5000 0.5000
0.0000 0.0000 0.5000
0.8750 0.6250 0.7500
0.0000 0.0000 0.0000
0.2500 0.3750 0.6250
0.1250 0.2500 0.8750
0.3750 0.7500 0.6250
0.1250 0.8750 0.7500
0.6250 0.3750 0.7500
0.7500 0.3750 0.1250
0.2500 0.1250 0.3750
0.3750 0.6250 0.2500
0.8750 0.1250 0.2500
0.8750 0.7500 0.1250
0.7500 0.8750 0.6250
0.6250 0.2500 0.3750
0.2500 0.6250 0.8750
```

Values from the calculation:
The density of states at the Fermi level is 0.661 states/eV/atom. The total energy comes out at -661.49 eV for the cell shown. Its crystal system is cubic.